[1]
Ga3Bi5I12 after structural relaxation, computed with PBE.

Structure (extended XYZ):
```
80
Lattice="-9.921 9.921 9.921 9.921 -9.921 9.921 9.921 9.921 -9.921" Properties=species:S:1:pos:R:3 pbc="T T T"
Ga 4.961 2.480 0.000
Ga 9.921 4.961 -2.480
Ga 2.480 0.000 4.961
Ga 12.402 0.000 4.961
Ga 0.000 4.961 2.480
Ga 4.961 -2.480 9.921
Ga 4.961 12.402 0.000
Ga 9.921 4.961 7.441
Ga -2.480 9.921 4.961
Ga 7.441 9.921 4.961
Ga 0.000 4.961 12.402
Ga 4.961 7.441 9.921
Bi 0.000 0.000 0.000
Bi 4.961 4.961 -4.961
Bi 4.961 -4.961 4.961
Bi 9.921 0.000 0.000
Bi 14.882 2.480 0.000
Bi 9.921 -4.961 7.441
Bi 7.441 9.921 -4.961
Bi 7.441 0.000 4.961
Bi 4.961 7.441 0.000
Bi 9.921 4.961 2.480
Bi -4.961 4.961 4.961
Bi 0.000 9.921 0.000
Bi 0.000 0.000 9.921
Bi 4.961 4.961 4.961
Bi 0.000 4.961 7.441
Bi 4.961 2.480 9.921
Bi 2.480 9.921 4.961
Bi 2.480 0.000 14.882
Bi 0.000 14.882 2.480
Bi -4.961 7.441 9.921
I 2.990 -0.384 1.159
I 11.892 6.120 -5.345
I 12.911 0.384 1.159
I 11.892 -3.802 5.345
I 9.538 -1.159 2.990
I 15.266 -1.971 3.802
I 1.159 2.990 -0.384
I 13.723 4.577 -1.971
I 6.120 5.345 -1.971
I 8.762 2.990 0.384
I -0.384 1.159 2.990
I 5.345 -1.971 6.120
I 9.538 8.762 -2.990
I 5.345 1.971 3.802
I 6.120 -5.345 11.892
I 8.762 -2.990 9.538
I 3.802 5.345 1.971
I 11.080 6.932 0.384
I 5.345 11.892 -3.802
I 9.538 1.159 6.932
I 2.990 9.538 -1.159
I 11.892 3.802 4.577
I 1.971 3.802 5.345
I 2.990 0.384 8.762
I 6.932 9.538 1.159
I 7.950 6.120 4.577
I -1.971 6.120 5.345
I 6.932 0.384 11.080
I 0.384 8.762 2.990
I 4.577 -1.971 13.723
I -1.159 2.990 9.538
I 6.120 4.577 7.950
I 1.159 12.911 0.384
I 3.802 15.266 -1.971
I 4.577 7.950 6.120
I 0.384 1.159 12.911
I 4.577 11.892 3.802
I 10.305 8.762 6.932
I 1.159 6.932 9.538
I 3.802 4.577 11.892
I -3.802 5.345 11.892
I 8.762 6.932 10.305
I -5.345 11.892 6.120
I 0.384 11.080 6.932
I -1.971 13.723 4.577
I -2.990 9.538 8.762
I -1.971 3.802 15.266
I 6.932 10.305 8.762
```

Calculated values
**Formation energy (no corrections)**: -0.04 eV per atom
**ρ**: 4.72 g/cm³
**Final energy**: -0.176 Ry/atom
**N(E_F)**: 66.47 states/eV per cell
**Magnetization**: 0.000 μB per formula unit

[2]
CrSiSe after structural relaxation, computed with PBE.

Structure (extended XYZ):
```
3
Lattice="-1.659 1.659 4.090 1.659 -1.659 4.090 1.659 1.659 -4.090" Properties=species:S:1:pos:R:3 pbc="T T T"
Cr 0.000 0.000 0.000
Si 0.000 0.000 5.315
Se 0.000 0.000 2.756
```

Calculated values
**Formation energy (no corrections)**: 0.21 eV per atom
**ρ**: 5.86 g/cm³
**Final energy**: -0.439 Ry/atom
**N(E_F)**: 1.17 states/eV per cell
**Magnetization**: 2.054 μB per formula unit

[3]
ZnPH2 after structural relaxation, computed with PBE.

Structure (extended XYZ):
```
4
Lattice="0.000 2.645 2.645 2.645 0.000 2.645 2.645 2.645 0.000" Properties=species:S:1:pos:R:3 pbc="T T T"
Zn 0.000 0.000 0.000
P 2.645 2.645 2.645
H 1.322 1.322 1.322
H 3.967 3.967 3.967
```

Calculated values
**ρ**: 4.42 g/cm³
**Final energy**: -0.186 Ry/atom
**N(E_F)**: 2.15 states/eV per cell
**Magnetization**: 0.000 μB per formula unit

[4]
Ba12Ge3Cl5 after structural relaxation, computed with PBE.

Structure (extended XYZ):
```
80
Lattice="-9.596 9.596 9.596 9.596 -9.596 9.596 9.596 9.596 -9.596" Properties=species:S:1:pos:R:3 pbc="T T T"
Ba 2.979 -0.420 1.342
Ba 11.415 6.140 -5.218
Ba 9.176 -1.342 2.979
Ba 14.813 -1.819 3.456
Ba 12.574 0.420 1.342
Ba 11.415 -3.456 5.218
Ba 1.342 2.979 -0.420
Ba 13.051 4.378 -1.819
Ba 6.140 5.218 -1.819
Ba 8.253 2.979 0.420
Ba -0.420 1.342 2.979
Ba 5.218 -1.819 6.140
Ba 9.176 8.253 -2.979
Ba 5.218 1.819 3.456
Ba 8.253 -2.979 9.176
Ba 6.140 -5.218 11.415
Ba 3.456 5.218 1.819
Ba 10.938 6.617 0.420
Ba 2.979 9.176 -1.342
Ba 11.415 3.456 4.378
Ba 5.218 11.415 -3.456
Ba 9.176 1.342 6.617
Ba 1.819 3.456 5.218
Ba 2.979 0.420 8.253
Ba 6.617 9.176 1.342
Ba 7.777 6.140 4.378
Ba 0.420 8.253 2.979
Ba 4.378 -1.819 13.051
Ba -1.819 6.140 5.218
Ba 6.617 0.420 10.938
Ba -1.342 2.979 9.176
Ba 6.140 4.378 7.777
Ba 3.456 14.813 -1.819
Ba 1.342 12.574 0.420
Ba 4.378 7.777 6.140
Ba 0.420 1.342 12.574
Ba 4.378 11.415 3.456
Ba 10.016 8.253 6.617
Ba 1.342 6.617 9.176
Ba 3.456 4.378 11.415
Ba -3.456 5.218 11.415
Ba 8.253 6.617 10.016
Ba -1.819 13.051 4.378
Ba -2.979 9.176 8.253
Ba -5.218 11.415 6.140
Ba 0.420 10.938 6.617
Ba -1.819 3.456 14.813
Ba 6.617 10.016 8.253
Ge 4.798 2.399 0.000
Ge 9.596 4.798 -2.399
Ge 2.399 0.000 4.798
Ge 11.995 0.000 4.798
Ge 0.000 4.798 2.399
Ge 4.798 -2.399 9.596
Ge 4.798 11.995 0.000
Ge 9.596 4.798 7.197
Ge -2.399 9.596 4.798
Ge 7.197 9.596 4.798
Ge 0.000 4.798 11.995
Ge 4.798 7.197 9.596
Cl 0.000 0.000 0.000
Cl 4.798 4.798 -4.798
Cl 4.798 -4.798 4.798
Cl 9.596 0.000 0.000
Cl 14.393 2.399 0.000
Cl 9.596 -4.798 7.197
Cl 7.197 9.596 -4.798
Cl 7.197 0.000 4.798
Cl 4.798 7.197 0.000
Cl 9.596 4.798 2.399
Cl -4.798 4.798 4.798
Cl 0.000 9.596 0.000
Cl 0.000 0.000 9.596
Cl 4.798 4.798 4.798
Cl 0.000 4.798 7.197
Cl 4.798 2.399 9.596
Cl 2.399 9.596 4.798
Cl 2.399 0.000 14.393
Cl 0.000 14.393 2.399
Cl -4.798 7.197 9.596
```

Calculated values
**Formation energy (no corrections)**: -1.01 eV per atom
**ρ**: 3.84 g/cm³
**Final energy**: -0.244 Ry/atom
**N(E_F)**: 63.29 states/eV per cell
**Magnetization**: 3.223 μB per formula unit

[5]
Ho5Er2ThSc after structural relaxation, computed with PBE.

Structure (extended XYZ):
```
18
Lattice="2.803 -10.805 0.000 2.803 10.805 0.000 0.000 0.000 9.375" Properties=species:S:1:pos:R:3 pbc="T T T"
Ho 2.803 10.526 4.687
Ho 2.803 4.991 1.771
Ho 2.803 4.244 7.455
Ho 2.803 2.257 4.403
Ho 2.803 0.641 7.186
Ho 2.803 -0.641 2.498
Ho 2.803 -2.257 9.091
Ho 2.803 -4.244 2.768
Ho 2.803 -4.991 6.459
Ho 2.803 -10.526 0.000
Er 2.803 8.311 1.807
Er 2.803 7.929 7.545
Er 2.803 -7.929 2.858
Er 2.803 -8.311 6.495
Th 2.803 2.135 0.826
Th 2.803 -2.135 5.514
Sc 2.803 6.706 4.683
Sc 2.803 -6.706 9.371
```

Calculated values
**ρ**: 8.40 g/cm³
**Final energy**: -0.361 Ry/atom
**E_form**: 0.1717 eV/atom
**N(E_F)**: 26.27 states/eV per cell
**Magnetization**: 0.000 μB per formula unit

[6]
K2ZnBi after structural relaxation, computed with PBE.

Structure (extended XYZ):
```
8
Lattice="-2.519 2.519 11.730 2.519 -2.519 11.730 2.519 2.519 -11.730" Properties=species:S:1:pos:R:3 pbc="T T T"
K 3.779 1.192 -2.932
K 1.192 1.260 2.932
K -1.260 1.327 8.797
K 1.327 1.260 14.662
Zn 0.000 0.000 0.000
Zn 0.000 2.519 5.865
Bi 2.519 0.000 5.865
Bi 0.000 0.000 11.730
```

Calculated values
**ρ**: 3.93 g/cm³
**Final energy**: -0.123 Ry/atom
**E_form**: 0.1614 eV/atom
**N(E_F)**: 3.64 states/eV per cell
**Magnetization**: 0.000 μB per formula unit

[7]
AcPu2Pd6 after structural relaxation, computed with PBE.

Structure (extended XYZ):
```
9
Lattice="-1.884 3.722 7.087 1.884 -3.722 7.087 1.884 3.722 -7.087" Properties=species:S:1:pos:R:3 pbc="T T T"
Ac 0.000 0.000 0.000
Pu 1.884 0.000 5.073
Pu 0.000 3.722 2.014
Pd 1.884 1.443 -2.556
Pd 1.884 2.386 0.000
Pd 1.884 1.443 2.556
Pd 0.000 2.279 4.531
Pd 0.000 1.336 7.087
Pd 0.000 2.279 9.643
```

Calculated values
**ρ**: 11.30 g/cm³
**Final energy**: -0.554 Ry/atom
**E_form**: -0.4376 eV/atom
**N(E_F)**: 26.42 states/eV per cell
**Magnetization**: 10.558 μB per formula unit

[8]
Tb2TlNi after structural relaxation, computed with PBE.

Structure (extended XYZ):
```
8
Lattice="6.302 0.000 0.000 0.000 3.872 0.000 -2.994 0.000 8.197" Properties=species:S:1:pos:R:3 pbc="T T T"
Tb -0.105 0.968 3.166
Tb 1.461 2.904 0.360
Tb 1.848 0.968 7.837
Tb 3.414 2.904 5.031
Tl 0.265 2.904 5.748
Tl 3.044 0.968 2.449
Ni -1.699 0.968 6.583
Ni 5.007 2.904 1.614
```

Calculated values
**ρ**: 9.64 g/cm³
**Final energy**: -0.345 Ry/atom
**E_form**: -0.3414 eV/atom
**N(E_F)**: 6.35 states/eV per cell
**Magnetization**: 0.000 μB per formula unit

[9]
Al4AsCl after structural relaxation, computed with PBE.

Structure (extended XYZ):
```
6
Lattice="0.000 3.893 3.893 3.893 0.000 3.893 3.893 3.893 0.000" Properties=species:S:1:pos:R:3 pbc="T T T"
Al 0.971 0.971 0.971
Al 2.922 2.922 0.971
Al 2.922 0.971 2.922
Al 0.971 2.922 2.922
As 5.839 5.839 5.839
Cl 3.893 3.893 3.893
```

Calculated values
**Formation energy (no corrections)**: 0.22 eV per atom
**ρ**: 3.07 g/cm³
**Final energy**: -0.247 Ry/atom
**N(E_F)**: 2.43 states/eV per cell
**Magnetization**: 0.000 μB per formula unit

[10]
YVSn2 after structural relaxation, computed with PBE.

Structure (extended XYZ):
```
4
Lattice="1.635 0.944 10.633 -1.635 0.944 10.633 0.000 -1.888 10.633" Properties=species:S:1:pos:R:3 pbc="T T T"
Y 0.000 0.000 0.000
V 0.000 0.000 15.949
Sn 0.000 0.000 3.157
Sn 0.000 0.000 28.741
```

Calculated values
**ρ**: 6.37 g/cm³
**Final energy**: -0.414 Ry/atom
**E_form**: 0.2686 eV/atom
**N(E_F)**: 4.59 states/eV per cell
**Magnetization**: 0.579 μB per formula unit

[11]
CuC3N after structural relaxation, computed with PBE.

Structure (extended XYZ):
```
5
Lattice="3.770 0.000 0.000 0.000 3.770 0.000 0.000 0.000 3.770" Properties=species:S:1:pos:R:3 pbc="T T T"
Cu 0.000 0.000 0.000
C 0.000 0.000 1.885
C 0.000 1.885 0.000
C 1.885 0.000 0.000
N 1.885 1.885 1.885
```

Calculated values
**Formation energy (no corrections)**: 3.78 eV per atom
**ρ**: 3.52 g/cm³
**Final energy**: -0.312 Ry/atom
**N(E_F)**: 3.50 states/eV per cell
**Magnetization**: 0.000 μB per formula unit

[12]
Pr2TlN after structural relaxation, computed with PBE.

Structure (extended XYZ):
```
4
Lattice="3.256 0.000 0.000 0.000 3.256 0.000 0.000 0.000 8.380" Properties=species:S:1:pos:R:3 pbc="T T T"
Pr 0.000 0.000 1.507
Pr 0.000 0.000 6.873
Tl 1.628 1.628 4.190
N 1.628 1.628 0.000
```

Calculated values
**Formation energy (no corrections)**: -0.38 eV per atom
**ρ**: 9.35 g/cm³
**Final energy**: -0.400 Ry/atom
**N(E_F)**: 3.08 states/eV per cell
**Magnetization**: 0.000 μB per formula unit

[13]
Ac2ErH2O6 after structural relaxation, computed with PBE.

Structure (extended XYZ):
```
11
Lattice="2.669 1.541 5.613 -2.669 1.541 5.613 0.000 -3.082 5.613" Properties=species:S:1:pos:R:3 pbc="T T T"
Ac 0.000 0.000 3.714
Ac 0.000 0.000 13.125
Er 0.000 0.000 0.000
H 0.000 0.000 7.161
H 0.000 0.000 9.677
O -1.261 -0.728 9.732
O 0.000 -1.456 7.107
O -1.261 0.728 7.107
O 1.261 -0.728 9.732
O 0.000 1.456 9.732
O 1.261 0.728 7.107
```

Calculated values
**ρ**: 8.62 g/cm³
**Final energy**: -0.491 Ry/atom
**N(E_F)**: 5.46 states/eV per cell
**Magnetization**: 0.001 μB per formula unit

[14]
Li2PdN after structural relaxation, computed with PBE.

Structure (extended XYZ):
```
8
Lattice="-1.723 1.723 7.372 1.723 -1.723 7.372 1.723 1.723 -7.372" Properties=species:S:1:pos:R:3 pbc="T T T"
Li 2.584 0.589 -1.843
Li 0.589 0.861 1.843
Li -0.861 1.134 5.529
Li 1.134 0.861 9.215
Pd 1.723 0.000 3.686
Pd 0.000 0.000 7.372
N 0.000 0.000 0.000
N 0.000 1.723 3.686
```

Calculated values
**Formation energy (no corrections)**: 0.27 eV per atom
**ρ**: 5.10 g/cm³
**Final energy**: -0.299 Ry/atom
**N(E_F)**: 1.88 states/eV per cell
**Magnetization**: 0.000 μB per formula unit

[15]
BaCa2In3 after structural relaxation, computed with PBE.

Structure (extended XYZ):
```
6
Lattice="4.011 0.000 0.000 0.000 4.011 0.000 0.000 0.000 11.903" Properties=species:S:1:pos:R:3 pbc="T T T"
Ba 0.000 0.000 0.000
Ca 0.000 0.000 4.106
Ca 0.000 0.000 7.797
In 2.006 2.006 2.353
In 2.006 2.006 5.952
In 2.006 2.006 9.550
```

Calculated values
**ρ**: 4.87 g/cm³
**Final energy**: -0.205 Ry/atom
**E_form**: -0.4383 eV/atom
**N(E_F)**: 4.14 states/eV per cell
**Magnetization**: 0.000 μB per formula unit

[16]
ZrSc2Tl after structural relaxation, computed with PBE.

Structure (extended XYZ):
```
4
Lattice="-2.184 2.184 4.806 2.184 -2.184 4.806 2.184 2.184 -4.806" Properties=species:S:1:pos:R:3 pbc="T T T"
Zr 0.000 0.000 0.000
Sc 2.184 0.000 2.403
Sc 0.000 0.000 4.806
Tl 0.000 2.184 2.403
```

Calculated values
**ρ**: 6.98 g/cm³
**Final energy**: -0.443 Ry/atom
**E_form**: -0.1353 eV/atom
**N(E_F)**: 5.15 states/eV per cell
**Magnetization**: 0.816 μB per formula unit

[17]
TaMoPb after structural relaxation, computed with PBE.

Structure (extended XYZ):
```
3
Lattice="-1.735 1.735 4.824 1.735 -1.735 4.824 1.735 1.735 -4.824" Properties=species:S:1:pos:R:3 pbc="T T T"
Ta 0.000 0.000 0.000
Mo 0.000 0.000 6.102
Pb 0.000 0.000 3.026
```

Calculated values
**ρ**: 13.83 g/cm³
**Final energy**: -0.616 Ry/atom
**E_form**: 0.4158 eV/atom
**N(E_F)**: 2.61 states/eV per cell
**Magnetization**: 0.000 μB per formula unit

[18]
Ba8S3O4 after structural relaxation, computed with PBE.

Structure (extended XYZ):
```
15
Lattice="6.038 -6.036 0.000 6.038 6.036 0.000 -5.944 0.000 6.050" Properties=species:S:1:pos:R:3 pbc="T T T"
Ba -0.112 0.000 2.816
Ba -3.041 0.000 5.937
Ba 6.038 3.164 0.000
Ba 3.066 3.133 3.025
Ba 3.066 -3.133 3.025
Ba 6.038 -3.164 0.000
Ba 9.172 0.000 0.113
Ba 6.243 0.000 3.234
S 0.047 3.018 3.025
S 0.047 -3.018 3.025
S 3.066 0.000 3.025
O 0.000 0.000 0.000
O -2.972 0.000 3.025
O 3.019 3.018 0.000
O 3.019 -3.018 0.000
```

Calculated values
**Formation energy (no corrections)**: -1.99 eV per atom
**ρ**: 4.74 g/cm³
**Final energy**: -0.380 Ry/atom
**N(E_F)**: 4.05 states/eV per cell
**Magnetization**: 0.949 μB per formula unit